1.
Rb2Cu2RuO6: optimized geometry, PBE-GGA.

Values from the calculation:
E_form (uncorrected) ... -946 meV per atom
Total magnetic moment ... 0.2 μB per formula unit

Unit cell a=5.8333 b=5.8333 c=6.7702 alpha=64.48 beta=64.48 gamma=60.00
Closest atoms and distances in Å follow each position.
Sites, in units of the cell vectors:
O  0.7806  0.7806  0.1991  1 Cu 1.82, 1 Ru 1.94
O  0.2194  0.7602  0.8009  1 Cu 1.82, 1 Ru 1.94
O  0.2194  0.2194  0.8009  1 Cu 1.82, 1 Ru 1.94
O  0.2398  0.7806  0.1991  1 Cu 1.82, 1 Ru 1.94
O  0.7806  0.2398  0.1991  1 Cu 1.82, 1 Ru 1.94
O  0.7602  0.2194  0.8009  1 Cu 1.82, 1 Ru 1.94
Rb  0.7887  0.7887  0.6339  9 O 2.99-3.08, 1 Cu 3.22
Rb  0.2113  0.2113  0.3661  9 O 2.99-3.08, 1 Cu 3.22
Cu  0.3941  0.3941  0.8178  3 O 1.82
Cu  0.6059  0.6059  0.1822  3 O 1.82
Ru  0.0000  0.0000  0.0000  6 O 1.94


2.
Rb2CuRuO4: optimized geometry, PBE-GGA.

Values from the calculation:
E_form (uncorrected) ... -930 meV per atom
Total magnetic moment ... 1.0 μB per formula unit

Unit cell a=5.1252 b=6.7540 c=10.3495 alpha=84.61 beta=75.66 gamma=67.70
Closest atoms and distances in Å follow each position.
Sites, in units of the cell vectors:
Rb  0.5764  0.5000  0.8471  8 O 3.06-3.35
Rb  0.9236  0.5000  0.1529  8 O 3.06-3.35
Rb  0.8264  0.0000  0.3471  8 O 3.06-3.35
Rb  0.1736  0.0000  0.6529  8 O 3.06-3.35
O  0.4260  0.6928  0.4154  1 Ru 1.89, 1 Cu 2.02
O  0.5914  0.1928  0.0846  1 Ru 1.89, 1 Cu 2.02
O  0.3240  0.8072  0.0846  1 Ru 1.89, 1 Cu 2.02
O  0.8812  0.6928  0.5846  1 Ru 1.89, 1 Cu 2.02
O  0.1586  0.3072  0.4154  1 Ru 1.89, 1 Cu 2.02
O  0.2158  0.1928  0.9154  1 Ru 1.89, 1 Cu 2.02
O  0.8688  0.8072  0.9154  1 Ru 1.89, 1 Cu 2.02
O  0.5342  0.3072  0.5846  1 Ru 1.89, 1 Cu 2.02
Ru  0.2500  0.5000  0.5000  4 O 1.89
Ru  0.5000  0.0000  0.0000  4 O 1.89
Cu  0.0000  0.0000  0.0000  4 O 2.02
Cu  0.7500  0.5000  0.5000  4 O 2.02